# 1
This record from the Alexandria database describes crystalline TaBBr2 at its relaxed geometry. The functional is GGA-PBE.

Cell: 9.692 9.692 4.397 Å, 90.00 90.00 90.00°
Fractional positions:
Ta 0.000 0.000 0.000
Ta 0.000 0.500 0.250
Ta 0.500 0.000 0.750
Ta 0.500 0.500 0.500
B 0.000 0.000 0.500
B 0.000 0.500 0.750
B 0.500 0.000 0.250
B 0.500 0.500 0.000
Br 0.089 0.750 0.125
Br 0.250 0.089 0.875
Br 0.250 0.411 0.375
Br 0.411 0.750 0.625
Br 0.589 0.250 0.625
Br 0.750 0.589 0.375
Br 0.750 0.911 0.875
Br 0.911 0.250 0.125

## Properties
V (Å³/atom): 25.82
Calculated density (Mg/m³): 5.65
Distance to the lowest polymorph of the same formula (eV/f.u.): 0.00
Spin magnetization (Bohr magnetons per cell): 3.869
ΔE_f (raw) (eV/atom): 0.57
Energy (eV/atom): -4.902
N(E_F) (states/eV/atom): 1.00

---

# 2
This record from the Alexandria database describes crystalline TaB3Br at its relaxed geometry. The functional is GGA-PBE.

Cell: 4.027 4.027 4.027 Å, 90.00 90.00 90.00°
Fractional positions:
Ta 0.000 0.000 0.000
B 0.000 0.500 0.500
B 0.500 0.000 0.500
B 0.500 0.500 0.000
Br 0.500 0.500 0.500

## Properties
V (Å³/atom): 13.06
Calculated density (Mg/m³): 7.46
Distance to the lowest polymorph of the same formula (eV/f.u.): 2.80
Spin magnetization (Bohr magnetons per cell): 0.000
ΔE_f (raw) (eV/atom): 2.42
Energy (eV/atom): -4.291
N(E_F) (states/eV/atom): 0.60

---

# 3
This record from the Alexandria database describes crystalline TaBBr2 at its relaxed geometry. The functional is GGA-PBE.

Cell: 6.468 6.468 6.468 Å, 90.00 90.00 90.00°
Fractional positions:
Ta 0.000 0.000 0.000
Ta 0.000 0.500 0.500
Ta 0.500 0.000 0.500
Ta 0.500 0.500 0.000
B 0.000 0.000 0.500
B 0.000 0.500 0.000
B 0.500 0.000 0.000
B 0.500 0.500 0.500
Br 0.250 0.250 0.250
Br 0.250 0.250 0.750
Br 0.250 0.750 0.250
Br 0.250 0.750 0.750
Br 0.750 0.250 0.250
Br 0.750 0.250 0.750
Br 0.750 0.750 0.250
Br 0.750 0.750 0.750

## Properties
V (Å³/atom): 16.92
Calculated density (Mg/m³): 8.63
Distance to the lowest polymorph of the same formula (eV/f.u.): 2.62
Spin magnetization (Bohr magnetons per cell): 0.000
ΔE_f (raw) (eV/atom): 1.22
Energy (eV/atom): -4.246
N(E_F) (states/eV/atom): 0.55

---

# 4
This record from the Alexandria database describes crystalline Ta3BBr at its relaxed geometry. The functional is GGA-PBE.

Cell: 4.439 4.439 4.439 Å, 90.00 90.00 90.00°
Fractional positions:
Ta 0.000 0.000 0.500
Ta 0.000 0.500 0.000
Ta 0.500 0.000 0.000
B 0.000 0.000 0.000
Br 0.500 0.500 0.500

## Properties
V (Å³/atom): 17.49
Calculated density (Mg/m³): 12.03
Distance to the lowest polymorph of the same formula (eV/f.u.): 0.00
Spin magnetization (Bohr magnetons per cell): 0.000
ΔE_f (raw) (eV/atom): 0.73
Energy (eV/atom): -8.053
N(E_F) (states/eV/atom): 1.79

---

# 5
This record from the Alexandria database describes crystalline Ta2BBr2 at its relaxed geometry. The functional is GGA-PBE.

Cell: 3.918 3.918 14.809 Å, 90.00 90.00 90.00°
Fractional positions:
Ta 0.000 0.500 0.250
Ta 0.000 0.500 0.750
Ta 0.500 0.000 0.250
Ta 0.500 0.000 0.750
B 0.000 0.000 0.000
B 0.500 0.500 0.500
Br 0.000 0.000 0.379
Br 0.000 0.000 0.621
Br 0.500 0.500 0.121
Br 0.500 0.500 0.879

## Properties
V (Å³/atom): 22.73
Calculated density (Mg/m³): 7.78
Distance to the lowest polymorph of the same formula (eV/f.u.): 0.00
Spin magnetization (Bohr magnetons per cell): 2.299
ΔE_f (raw) (eV/atom): 1.31
Energy (eV/atom): -5.432
N(E_F) (states/eV/atom): 0.83

---

# 6
This record from the Alexandria database describes crystalline TaB2Br at its relaxed geometry. The functional is GGA-PBE.

Cell: 5.976 5.976 5.976 Å, 90.00 90.00 90.00°
Fractional positions:
Ta 0.000 0.000 0.000
Ta 0.000 0.500 0.500
Ta 0.500 0.000 0.500
Ta 0.500 0.500 0.000
B 0.250 0.250 0.250
B 0.250 0.250 0.750
B 0.250 0.750 0.250
B 0.250 0.750 0.750
B 0.750 0.250 0.250
B 0.750 0.250 0.750
B 0.750 0.750 0.250
B 0.750 0.750 0.750
Br 0.000 0.000 0.500
Br 0.000 0.500 0.000
Br 0.500 0.000 0.000
Br 0.500 0.500 0.500

## Properties
V (Å³/atom): 13.34
Calculated density (Mg/m³): 8.79
Distance to the lowest polymorph of the same formula (eV/f.u.): 1.78
Spin magnetization (Bohr magnetons per cell): 0.000
ΔE_f (raw) (eV/atom): 1.78
Energy (eV/atom): -4.943
N(E_F) (states/eV/atom): 0.35